No. 1
Density functional theory data (PBE) for an optimized crystal structure of Rb3IrBr6.

```
20
Lattice="7.9607 0.0000 -0.0627 0.0000 8.1642 0.0000 -0.1867 0.0000 11.3620" Properties=species:S:1:pos:R:3 pbc="T T T"
Br 2.6396 6.2132 5.1111
Br 7.1728 8.0268 2.3301
Br 3.0991 4.2196 8.0425
Rb 7.6595 3.4991 8.5428
Br 0.6013 0.1375 8.9692
Br 5.7190 1.3538 10.7308
Ir 3.8870 4.0821 5.6497
Br 4.6750 3.9447 3.2568
Br 6.5266 6.0331 10.7607
Br 5.9421 5.4359 6.2181
Br 2.0550 6.8105 0.5685
Rb 0.1145 4.6651 2.7565
Rb 4.0016 7.5813 8.4061
Br 5.1345 1.9510 6.1883
Br 1.8320 2.7283 5.0812
Br 1.2474 2.1311 0.5386
Rb 3.9804 4.0821 -0.0314
Rb -0.0933 0.0000 5.6810
Rb 3.7725 0.5830 2.8932
Ir 0.0000 0.0000 0.0000
```

Results
SG ... P2_1/c
Crystal system ... monoclinic
Raw total energy ... -0.12166 hartree per atom
Relative energy among the computed polymorphs ... 0 meV/atom
ΔE_f (raw) ... -11.30 eV per formula unit
Total magnetic moment ... 0.000 μB/f.u.

No. 2
Density functional theory data (PBE) for an optimized crystal structure of RbIrBr6.

```
8
Lattice="-2.3173 -5.7791 3.4816 3.7275 -2.5876 5.6481 -2.9669 0.9122 6.8472" Properties=species:S:1:pos:R:3 pbc="T T T"
Rb -0.7784 -3.7273 7.9884
Br -0.8685 -0.7043 2.2187
Br -0.6883 -6.7503 13.7582
Br -3.0877 -5.8857 10.8952
Ir 0.0000 0.0000 0.0000
Br -1.5385 -3.6258 4.4413
Br -0.0183 -3.8287 11.5355
Br 1.5309 -1.5689 5.0817
```

Results
SG ... P-1
Crystal system ... triclinic
Raw total energy ... -0.11013 hartree per atom
ΔE_f (raw) ... -4.11 eV per formula unit
Total magnetic moment ... 2.033 μB/f.u.

No. 3
Density functional theory data (PBE) for an optimized crystal structure of Rb3IrBr6.

```
20
Lattice="-6.0362 3.3117 6.1589 -0.5334 -8.2119 4.1970 6.8369 2.2810 5.7783" Properties=species:S:1:pos:R:3 pbc="T T T"
Br -3.9797 2.7627 7.5280
Ir 0.0000 0.0000 0.0000
Rb -1.8324 1.7567 5.0566
Rb 3.2341 -0.3650 4.6282
Br -1.1124 0.0632 9.7898
Br 5.5655 0.4633 6.9966
Br -1.9375 -1.3618 6.6136
Rb 1.4394 1.0216 11.9647
Br 1.3797 -2.6823 6.3443
Ir 0.1337 -1.3096 8.0671
Rb 2.0997 -4.3758 11.0775
Br 0.8871 0.8171 6.9205
Br 2.2048 -1.2573 9.5205
Br -0.6198 -3.4362 9.2136
Br -5.2981 -3.0824 9.1375
Br 4.2470 -5.3818 8.6061
Rb -2.9668 -2.2541 11.5059
Br -1.2462 -6.5530 5.9705
Rb -1.1721 -3.6407 4.1695
Br 1.5135 3.9339 10.1636
```

Results
SG ... R-3
Crystal system ... trigonal
Raw total energy ... -0.12131 hartree per atom
Relative energy among the computed polymorphs ... 10 meV/atom
ΔE_f (raw) ... -11.21 eV per formula unit
Total magnetic moment ... 0.058 μB/f.u.